(1)
Material: LiScP2Cl
Method: DFT, PBE
State: optimized geometry

Cell lengths 5.002, 5.002, 5.116 Å; angles 90.00, 90.00, 90.00 degrees
Positions (direct):
Li1 0.000 0.000 0.000
Sc1 0.500 0.500 0.500
P1 0.000 0.500 0.500
P2 0.500 0.000 0.500
Cl1 0.500 0.500 0.000

Summary:
DOS at the Fermi energy (states/eV/f.u.): 2.8
SG: P4/mmm (123)
Energy above the most stable polymorph in this dataset (meV per atom): 0
Uncorrected formation energy (meV per atom): -349

***

(2)
Material: LiPSeCl2
Method: DFT, PBE
State: optimized geometry

Cell lengths 4.152, 4.152, 8.601 Å; angles 90.00, 90.00, 90.00 degrees
Positions (direct):
Li1 0.000 0.000 0.000
P1 0.000 0.000 0.500
Se1 0.500 0.500 0.500
Cl1 0.000 0.500 0.000
Cl2 0.500 0.000 0.000

Summary:
DOS at the Fermi energy (states/eV/f.u.): 3.7
SG: P4/mmm (123)
Energy above the most stable polymorph in this dataset (meV per atom): 75
Uncorrected formation energy (meV per atom): 89

***

(3)
Material: LiPSeCl2
Method: DFT, PBE
State: optimized geometry

Cell lengths 5.425, 5.425, 4.713 Å; angles 90.00, 90.00, 90.00 degrees
Positions (direct):
Li1 0.000 0.000 0.000
P1 0.500 0.500 0.000
Se1 0.500 0.500 0.500
Cl1 0.000 0.500 0.500
Cl2 0.500 0.000 0.500

Summary:
DOS at the Fermi energy (states/eV/f.u.): 1.8
SG: P4/mmm (123)
Energy above the most stable polymorph in this dataset (meV per atom): 0
Uncorrected formation energy (meV per atom): 14

***

(4)
Material: LiSiPCl2
Method: DFT, PBE
State: optimized geometry

Cell lengths 4.384, 4.384, 5.243 Å; angles 90.00, 90.00, 90.00 degrees
Positions (direct):
Li1 0.000 0.000 0.000
Si1 0.500 0.500 0.500
P1 0.000 0.000 0.500
Cl1 0.000 0.500 0.000
Cl2 0.500 0.000 0.000

Summary:
DOS at the Fermi energy (states/eV/f.u.): 3.3
SG: P4/mmm (123)
Energy above the most stable polymorph in this dataset (meV per atom): 409
Uncorrected formation energy (meV per atom): 204

***

(5)
Material: LiSiPCl2
Method: DFT, PBE
State: optimized geometry

Cell lengths 5.009, 5.009, 4.535 Å; angles 90.00, 90.00, 90.00 degrees
Positions (direct):
Li1 0.000 0.000 0.000
Si1 0.500 0.500 0.500
P1 0.500 0.500 0.000
Cl1 0.000 0.500 0.500
Cl2 0.500 0.000 0.500

Summary:
DOS at the Fermi energy (states/eV/f.u.): 2.7
SG: P4/mmm (123)
Energy above the most stable polymorph in this dataset (meV per atom): 0
Uncorrected formation energy (meV per atom): -205

***

(6)
Material: LiSnP2Cl
Method: DFT, PBE
State: optimized geometry

Cell lengths 5.053, 5.053, 5.582 Å; angles 90.00, 90.00, 90.00 degrees
Positions (direct):
Li1 0.000 0.000 0.000
Sn1 0.500 0.500 0.500
P1 0.000 0.500 0.500
P2 0.500 0.000 0.500
Cl1 0.500 0.500 0.000

Summary:
DOS at the Fermi energy (states/eV/f.u.): 3.3
SG: P4/mmm (123)
Energy above the most stable polymorph in this dataset (meV per atom): 9
Uncorrected formation energy (meV per atom): 319

***

(7)
Material: LiSnPCl2
Method: DFT, PBE
State: optimized geometry

Cell lengths 4.505, 4.505, 5.318 Å; angles 90.00, 90.00, 90.00 degrees
Positions (direct):
Li1 0.000 0.000 0.000
Sn1 0.500 0.500 0.500
P1 0.000 0.000 0.500
Cl1 0.000 0.500 0.000
Cl2 0.500 0.000 0.000

Summary:
DOS at the Fermi energy (states/eV/f.u.): 1.9
SG: P4/mmm (123)
Energy above the most stable polymorph in this dataset (meV per atom): 0
Uncorrected formation energy (meV per atom): -288

***

(8)
Material: LiSnP2Cl
Method: DFT, PBE
State: optimized geometry

Cell lengths 4.469, 4.469, 5.047 Å; angles 90.00, 90.00, 90.00 degrees
Positions (direct):
Li1 0.000 0.000 0.000
Sn1 0.500 0.500 0.500
P1 0.000 0.500 0.000
P2 0.500 0.000 0.000
Cl1 0.000 0.000 0.500

Summary:
DOS at the Fermi energy (states/eV/f.u.): 3.7
SG: P4/mmm (123)
Energy above the most stable polymorph in this dataset (meV per atom): 0
Uncorrected formation energy (meV per atom): 311

***

(9)
Material: LiSnPCl2
Method: DFT, PBE
State: optimized geometry

Cell lengths 5.434, 5.434, 5.118 Å; angles 90.00, 90.00, 90.00 degrees
Positions (direct):
Li1 0.000 0.000 0.000
Sn1 0.500 0.500 0.500
P1 0.500 0.500 0.000
Cl1 0.000 0.500 0.500
Cl2 0.500 0.000 0.500

Summary:
DOS at the Fermi energy (states/eV/f.u.): 4.2
SG: P4/mmm (123)
Energy above the most stable polymorph in this dataset (meV per atom): 16
Uncorrected formation energy (meV per atom): -271

***

(10)
Material: LiSnPCl2
Method: DFT, PBE
State: optimized geometry

Cell lengths 4.372, 4.372, 6.318 Å; angles 90.00, 90.00, 90.00 degrees
Positions (direct):
Li1 0.000 0.000 0.000
Sn1 0.000 0.000 0.500
P1 0.500 0.500 0.500
Cl1 0.000 0.500 0.000
Cl2 0.500 0.000 0.000

Summary:
DOS at the Fermi energy (states/eV/f.u.): 3.8
SG: P4/mmm (123)
Energy above the most stable polymorph in this dataset (meV per atom): 156
Uncorrected formation energy (meV per atom): -131

***

(11)
Material: SrLiPCl2
Method: DFT, PBE
State: optimized geometry

Cell lengths 5.642, 5.642, 6.097 Å; angles 90.00, 90.00, 90.00 degrees
Positions (direct):
Sr1 0.000 0.000 0.000
Li1 0.500 0.500 0.500
P1 0.000 0.000 0.500
Cl1 0.000 0.500 0.000
Cl2 0.500 0.000 0.000

Summary:
DOS at the Fermi energy (states/eV/f.u.): 2.0
SG: P4/mmm (123)
Energy above the most stable polymorph in this dataset (meV per atom): 237
Uncorrected formation energy (meV per atom): -803

***

(12)
Material: SrLiPCl2
Method: DFT, PBE
State: optimized geometry

Cell lengths 4.767, 4.767, 5.111 Å; angles 90.00, 90.00, 90.00 degrees
Positions (direct):
Sr1 0.000 0.000 0.000
Li1 0.500 0.500 0.500
P1 0.500 0.500 0.000
Cl1 0.000 0.500 0.500
Cl2 0.500 0.000 0.500

Summary:
DOS at the Fermi energy (states/eV/f.u.): 2.0
SG: P4/mmm (123)
Energy above the most stable polymorph in this dataset (meV per atom): 0
Uncorrected formation energy (meV per atom): -1040

***

(13)
Material: LiTaP2Cl
Method: DFT, PBE
State: optimized geometry

Cell lengths 4.442, 4.442, 4.127 Å; angles 90.00, 90.00, 90.00 degrees
Positions (direct):
Li1 0.000 0.000 0.000
Ta1 0.500 0.500 0.500
P1 0.000 0.500 0.000
P2 0.500 0.000 0.000
Cl1 0.000 0.000 0.500

Summary:
DOS at the Fermi energy (states/eV/f.u.): 4.5
SG: P4/mmm (123)
Energy above the most stable polymorph in this dataset (meV per atom): 973
Uncorrected formation energy (meV per atom): 723

***

(14)
Material: LiTaP2Cl
Method: DFT, PBE
State: optimized geometry

Cell lengths 4.813, 4.813, 5.045 Å; angles 90.00, 90.00, 90.00 degrees
Positions (direct):
Li1 0.000 0.000 0.000
Ta1 0.500 0.500 0.500
P1 0.000 0.500 0.500
P2 0.500 0.000 0.500
Cl1 0.500 0.500 0.000

Summary:
DOS at the Fermi energy (states/eV/f.u.): 3.2
SG: P4/mmm (123)
Energy above the most stable polymorph in this dataset (meV per atom): 0
Uncorrected formation energy (meV per atom): -250

***

(15)
Material: LiTeP2Cl
Method: DFT, PBE
State: optimized geometry

Cell lengths 5.008, 5.008, 6.048 Å; angles 90.00, 90.00, 90.00 degrees
Positions (direct):
Li1 0.000 0.000 0.000
Te1 0.000 0.000 0.500
P1 0.000 0.500 0.500
P2 0.500 0.000 0.500
Cl1 0.500 0.500 0.000

Summary:
DOS at the Fermi energy (states/eV/f.u.): 2.6
SG: P4/mmm (123)
Energy above the most stable polymorph in this dataset (meV per atom): 111
Uncorrected formation energy (meV per atom): 559

***

(16)
Material: LiTeP2Cl
Method: DFT, PBE
State: optimized geometry

Cell lengths 4.795, 4.795, 4.244 Å; angles 90.00, 90.00, 90.00 degrees
Positions (direct):
Li1 0.000 0.000 0.000
Te1 0.500 0.500 0.500
P1 0.000 0.500 0.000
P2 0.500 0.000 0.000
Cl1 0.000 0.000 0.500

Summary:
DOS at the Fermi energy (states/eV/f.u.): 3.7
SG: P4/mmm (123)
Energy above the most stable polymorph in this dataset (meV per atom): 0
Uncorrected formation energy (meV per atom): 448

***

(17)
Material: LiTeP2Cl
Method: DFT, PBE
State: optimized geometry

Cell lengths 5.021, 5.021, 5.788 Å; angles 90.00, 90.00, 90.00 degrees
Positions (direct):
Li1 0.000 0.000 0.000
Te1 0.500 0.500 0.500
P1 0.000 0.500 0.500
P2 0.500 0.000 0.500
Cl1 0.500 0.500 0.000

Summary:
DOS at the Fermi energy (states/eV/f.u.): 4.2
SG: P4/mmm (123)
Energy above the most stable polymorph in this dataset (meV per atom): 33
Uncorrected formation energy (meV per atom): 481

***

(18)
Material: LiTiPCl2
Method: DFT, PBE
State: optimized geometry

Cell lengths 4.887, 4.887, 4.781 Å; angles 90.00, 90.00, 90.00 degrees
Positions (direct):
Li1 0.000 0.000 0.000
Ti1 0.500 0.500 0.500
P1 0.500 0.500 0.000
Cl1 0.000 0.500 0.500
Cl2 0.500 0.000 0.500

Summary:
DOS at the Fermi energy (states/eV/f.u.): 2.2
SG: P4/mmm (123)
Energy above the most stable polymorph in this dataset (meV per atom): 0
Uncorrected formation energy (meV per atom): -807

***

(19)
Material: LiTiPCl2
Method: DFT, PBE
State: optimized geometry

Cell lengths 4.222, 4.222, 5.244 Å; angles 90.00, 90.00, 90.00 degrees
Positions (direct):
Li1 0.000 0.000 0.000
Ti1 0.500 0.500 0.500
P1 0.000 0.000 0.500
Cl1 0.000 0.500 0.000
Cl2 0.500 0.000 0.000

Summary:
DOS at the Fermi energy (states/eV/f.u.): 3.9
SG: P4/mmm (123)
Energy above the most stable polymorph in this dataset (meV per atom): 680
Uncorrected formation energy (meV per atom): -127

***

(20)
Material: LiTlP2Cl
Method: DFT, PBE
State: optimized geometry

Cell lengths 4.436, 4.436, 5.974 Å; angles 90.00, 90.00, 90.00 degrees
Positions (direct):
Li1 0.000 0.000 0.000
Tl1 0.500 0.500 0.500
P1 0.000 0.500 0.000
P2 0.500 0.000 0.000
Cl1 0.000 0.000 0.500

Summary:
DOS at the Fermi energy (states/eV/f.u.): 3.1
SG: P4/mmm (123)
Energy above the most stable polymorph in this dataset (meV per atom): 0
Uncorrected formation energy (meV per atom): 316

***

(21)
Material: LiTlP2Cl
Method: DFT, PBE
State: optimized geometry

Cell lengths 5.131, 5.131, 5.877 Å; angles 90.00, 90.00, 90.00 degrees
Positions (direct):
Li1 0.000 0.000 0.000
Tl1 0.500 0.500 0.500
P1 0.000 0.500 0.500
P2 0.500 0.000 0.500
Cl1 0.500 0.500 0.000

Summary:
DOS at the Fermi energy (states/eV/f.u.): 3.1
SG: P4/mmm (123)
Energy above the most stable polymorph in this dataset (meV per atom): 217
Uncorrected formation energy (meV per atom): 533

***

(22)
Material: LiVPCl2
Method: DFT, PBE
State: optimized geometry

Cell lengths 4.919, 4.919, 4.610 Å; angles 90.00, 90.00, 90.00 degrees
Positions (direct):
Li1 0.000 0.000 0.000
V1 0.500 0.500 0.500
P1 0.500 0.500 0.000
Cl1 0.000 0.500 0.500
Cl2 0.500 0.000 0.500

Summary:
DOS at the Fermi energy (states/eV/f.u.): 2.0
SG: P4/mmm (123)
Energy above the most stable polymorph in this dataset (meV per atom): 0
Uncorrected formation energy (meV per atom): -557

***

(23)
Material: LiVPCl2
Method: DFT, PBE
State: optimized geometry

Cell lengths 4.357, 4.357, 5.157 Å; angles 90.00, 90.00, 90.00 degrees
Positions (direct):
Li1 0.000 0.000 0.000
V1 0.500 0.500 0.500
P1 0.000 0.000 0.500
Cl1 0.000 0.500 0.000
Cl2 0.500 0.000 0.000

Summary:
DOS at the Fermi energy (states/eV/f.u.): 7.9
SG: P4/mmm (123)
Energy above the most stable polymorph in this dataset (meV per atom): 695
Uncorrected formation energy (meV per atom): 138

***

(24)
Material: LiP2WCl
Method: DFT, PBE
State: optimized geometry

Cell lengths 4.659, 4.659, 5.193 Å; angles 90.00, 90.00, 90.00 degrees
Positions (direct):
Li1 0.000 0.000 0.000
P1 0.000 0.500 0.500
P2 0.500 0.000 0.500
W1 0.500 0.500 0.500
Cl1 0.500 0.500 0.000

Summary:
DOS at the Fermi energy (states/eV/f.u.): 4.0
SG: P4/mmm (123)
Energy above the most stable polymorph in this dataset (meV per atom): 0
Uncorrected formation energy (meV per atom): 4

***

(25)
Material: LiPWCl2
Method: DFT, PBE
State: optimized geometry

Cell lengths 4.964, 4.964, 4.704 Å; angles 90.00, 90.00, 90.00 degrees
Positions (direct):
Li1 0.000 0.000 0.000
P1 0.500 0.500 0.000
W1 0.500 0.500 0.500
Cl1 0.000 0.500 0.500
Cl2 0.500 0.000 0.500

Summary:
DOS at the Fermi energy (states/eV/f.u.): 3.3
SG: P4/mmm (123)
Energy above the most stable polymorph in this dataset (meV per atom): 0
Uncorrected formation energy (meV per atom): -126

***

(26)
Material: LiP2WCl
Method: DFT, PBE
State: optimized geometry

Cell lengths 4.347, 4.347, 4.159 Å; angles 90.00, 90.00, 90.00 degrees
Positions (direct):
Li1 0.000 0.000 0.000
P1 0.000 0.500 0.000
P2 0.500 0.000 0.000
W1 0.500 0.500 0.500
Cl1 0.000 0.000 0.500

Summary:
DOS at the Fermi energy (states/eV/f.u.): 5.9
SG: P4/mmm (123)
Energy above the most stable polymorph in this dataset (meV per atom): 1158
Uncorrected formation energy (meV per atom): 1162

***

(27)
Material: LiPWCl2
Method: DFT, PBE
State: optimized geometry

Cell lengths 4.173, 4.173, 5.449 Å; angles 90.00, 90.00, 90.00 degrees
Positions (direct):
Li1 0.000 0.000 0.000
P1 0.000 0.000 0.500
W1 0.500 0.500 0.500
Cl1 0.000 0.500 0.000
Cl2 0.500 0.000 0.000

Summary:
DOS at the Fermi energy (states/eV/f.u.): 3.7
SG: P4/mmm (123)
Energy above the most stable polymorph in this dataset (meV per atom): 823
Uncorrected formation energy (meV per atom): 697

***

(28)
Material: LiYP2Cl
Method: DFT, PBE
State: optimized geometry

Cell lengths 5.339, 5.339, 5.350 Å; angles 90.00, 90.00, 90.00 degrees
Positions (direct):
Li1 0.000 0.000 0.000
Y1 0.500 0.500 0.500
P1 0.000 0.500 0.500
P2 0.500 0.000 0.500
Cl1 0.500 0.500 0.000

Summary:
DOS at the Fermi energy (states/eV/f.u.): 2.5
SG: P4/mmm (123)
Energy above the most stable polymorph in this dataset (meV per atom): 154
Uncorrected formation energy (meV per atom): -292

***

(29)
Material: LiYP2Cl
Method: DFT, PBE
State: optimized geometry

Cell lengths 4.328, 4.328, 4.975 Å; angles 90.00, 90.00, 90.00 degrees
Positions (direct):
Li1 0.000 0.000 0.000
Y1 0.500 0.500 0.500
P1 0.000 0.500 0.000
P2 0.500 0.000 0.000
Cl1 0.000 0.000 0.500

Summary:
DOS at the Fermi energy (states/eV/f.u.): 1.5
SG: P4/mmm (123)
Energy above the most stable polymorph in this dataset (meV per atom): 0
Uncorrected formation energy (meV per atom): -445